1.
# BaNd3Mg4 | Alexandria via LeMat-Bulk | PBE-GGA | relaxed
data_BaNd3Mg4
_cell_length_a 3.962
_cell_length_b 5.655
_cell_length_c 11.335
_cell_angle_alpha 90.00
_cell_angle_beta 90.00
_cell_angle_gamma 90.00
_symmetry_space_group_name_H-M 'P 1'
_symmetry_Int_Tables_number 1
_symmetry_space_group_name_Hall 'P 1'
loop_
_atom_site_label
_atom_site_fract_x
_atom_site_fract_y
_atom_site_fract_z
Mg1 0.000 0.000 0.000
Mg2 0.000 0.500 0.266
Nd1 0.500 0.000 0.743
Ba1 0.500 0.500 0.000
Mg3 0.000 0.000 0.500
Mg4 0.000 0.500 0.734
Nd2 0.500 0.500 0.500
Nd3 0.500 0.000 0.257
# Calculated volume (Å³/atom): 31.7
# D(E_F) (states/eV/cell): 7.61
# Total moment (μB per cell): 0.0
# Energy of formation (eV/atom): -0.053
# SG: Pmmm (47)



2.
# Ba3Nd3MgSe8 | Alexandria via LeMat-Bulk | PBE-GGA | relaxed
data_Ba3Nd3MgSe8
_cell_length_a 8.630
_cell_length_b 8.631
_cell_length_c 9.042
_cell_angle_alpha 118.53
_cell_angle_beta 89.98
_cell_angle_gamma 120.02
_symmetry_space_group_name_H-M 'P 1'
_symmetry_Int_Tables_number 1
_symmetry_space_group_name_Hall 'P 1'
loop_
_atom_site_label
_atom_site_fract_x
_atom_site_fract_y
_atom_site_fract_z
Ba1 0.000 0.500 0.000
Se1 0.748 0.979 0.710
Se2 0.231 0.462 0.710
Se3 0.741 0.482 0.723
Ba2 0.000 0.000 0.000
Se4 0.769 0.538 0.290
Nd1 0.500 0.000 0.500
Ba3 0.500 0.500 0.000
Se5 0.231 0.979 0.710
Se6 0.769 0.021 0.290
Nd2 0.500 0.500 0.500
Mg1 0.000 0.000 0.500
Nd3 0.000 0.500 0.500
Se7 0.259 0.518 0.277
Se8 0.252 0.021 0.290
# Calculated volume (Å³/atom): 32.4
# D(E_F) (states/eV/cell): 3.93
# Total moment (μB per cell): 0.0
# SG: R-3m (166)
# Raw formation energy (eV per atom): -1.819



3.
# BaNdMgZn | Alexandria via LeMat-Bulk | PBE-GGA | relaxed
data_BaNdMgZn
_cell_length_a 5.647
_cell_length_b 5.647
_cell_length_c 5.647
_cell_angle_alpha 60.00
_cell_angle_beta 60.00
_cell_angle_gamma 60.00
_symmetry_space_group_name_H-M 'P 1'
_symmetry_Int_Tables_number 1
_symmetry_space_group_name_Hall 'P 1'
loop_
_atom_site_label
_atom_site_fract_x
_atom_site_fract_y
_atom_site_fract_z
Nd1 0.750 0.750 0.750
Zn1 0.000 0.000 0.000
Mg1 0.500 0.500 0.500
Ba1 0.250 0.250 0.250
# Calculated volume (Å³/atom): 31.8
# D(E_F) (states/eV/cell): 3.10
# Total moment (μB per cell): 0.0
# Energy of formation (eV/atom): -0.029
# SG: F-43m (216)



- calculated volume of number 3 (BaNdMgZn)?
  31.8 Å³/atom